Record 1
Computed, not measured: a geometry-optimized SmEuZnSn structure at the GGA-PBE level of DFT.

a = 5.3665 Å, b = 5.3665 Å, c = 5.3665 Å
α = 60.00°, β = 60.00°, γ = 60.00°
Last column: nearest neighbours and their distance in Å.
Fractional coordinates of all 4 atoms:
Eu 0.0000 0.0000 0.0000  4 Zn 3.29, 4 Sn 3.29
Zn 0.7500 0.7500 0.7500  4 Sm 3.29, 4 Eu 3.29
Sn 0.2500 0.2500 0.2500  4 Eu 3.29, 4 Sm 3.29
Sm 0.5000 0.5000 0.5000  4 Sn 3.29, 4 Zn 3.29

VASP energy: -22.2 eV per formula unit
formation energy: -0.49 eV per atom
space-group type: F-43m, No. 216
DOS at the Fermi energy: 2.61 states/eV/cell



Record 2
Computed, not measured: a geometry-optimized Ac2TbPrNd2 structure at the GGA-PBE level of DFT.

a = 5.9679 Å, b = 7.3900 Å, c = 10.2891 Å
α = 90.00°, β = 90.00°, γ = 90.00°
Last column: nearest neighbours and their distance in Å.
Fractional coordinates of all 12 atoms:
Ac 0.5000 0.0074 0.9999  6 Ac 3.69-3.93, 2 Tb 3.92, 6 Nd 3.94-3.98
Ac 0.0000 0.2573 0.1725  5 Nd 3.46-3.70, 2 Pr 3.84
Ac 0.5000 0.5074 0.0001  6 Ac 3.69-3.93, 2 Tb 3.92, 6 Nd 3.94-3.98
Ac 0.0000 0.7573 0.8275  5 Nd 3.46-3.70, 2 Pr 3.84
Tb 0.5000 0.2579 0.6644  5 Nd 3.31-3.70
Tb 0.5000 0.7579 0.3356  5 Nd 3.31-3.70
Pr 0.0000 0.0078 0.5000  2 Pr 3.69, 6 Nd 3.83-3.87, 2 Ac 3.84, 4 Tb 3.90
Pr 0.0000 0.5078 0.5000  2 Pr 3.69, 6 Nd 3.83-3.87, 2 Ac 3.84, 4 Tb 3.90
Nd 0.0000 0.2573 0.8263  2 Tb 3.42, 3 Ac 3.56-3.70
Nd 0.5000 0.2579 0.3425  3 Tb 3.31-3.70, 2 Ac 3.46
Nd 0.0000 0.7573 0.1737  2 Tb 3.42, 3 Ac 3.56-3.70
Nd 0.5000 0.7579 0.6575  3 Tb 3.31-3.70, 2 Ac 3.46

VASP energy: -26.7 eV per formula unit
formation energy: 0.07 eV per atom
space-group type: Pmma, No. 51
DOS at the Fermi energy: 17.93 states/eV/cell



Record 3
Computed, not measured: a geometry-optimized Tb2DyCdN structure at the GGA-PBE level of DFT.

a = 4.8230 Å, b = 4.8603 Å, c = 4.8603 Å
α = 90.00°, β = 90.00°, γ = 90.00°
Last column: nearest neighbours and their distance in Å.
Fractional coordinates of all 5 atoms:
Tb 0.0000 0.0000 0.5000  2 N 2.43
Tb 0.0000 0.5000 0.0000  2 N 2.43
Dy 0.5000 0.0000 0.0000  2 N 2.41
Cd 0.5000 0.5000 0.5000  8 Tb 3.42, 4 Dy 3.44
N 0.0000 0.0000 0.0000  2 Dy 2.41, 4 Tb 2.43

raw formation energy: -0.838 eV per atom
VASP energy: -27.3 eV per formula unit
space-group type: P4/mmm, No. 123
DOS at the Fermi energy: 4.67 states/eV/cell